Material: ZnSb2TeC
Method: DFT, PBE-GGA
State: relaxed

Lattice parameters (Å, degrees): 4.7756 4.7756 4.8540 90.00 90.00 90.00
Closest atoms and distances in Å follow each position.
Fractional positions:
Zn (0.0000, 0.0000, 0.0000)  4 Te 3.38, 8 Sb 3.40
Sb (0.0000, 0.5000, 0.5000)  2 C 2.39
Sb (0.5000, 0.0000, 0.5000)  2 C 2.39
Te (0.5000, 0.5000, 0.0000)  2 C 2.43
C (0.5000, 0.5000, 0.5000)  4 Sb 2.39, 2 Te 2.43

Theoretical density: 6.73 g/cm³
Spin magnetization: 0.0000 μB per atom
Formation energy without anion corrections: 0.99 eV per atom
Relative energy among the computed polymorphs: 0 meV per atom
Total DFT energy (no corrections): -3.39 eV/atom